A relaxed structure of Pr3NdHg, computed with PBE.

Unit cell a=30.5178 b=3.7783 c=5.7778 alpha=90.00 beta=90.13 gamma=90.00
Closest atoms and distances in Å follow each position.
Space group C2/m (No. 12)
Symmetry-distinct sites (fractional):
Pr1 0.0477 0.0000 0.2387  6 Hg 3.30-3.49
Pr2 0.1280 0.0000 0.7472  2 Hg 3.26, 4 Pr 3.57-3.59
Pr3 0.1591 0.5000 0.2493  8 Pr 3.57-3.89, 4 Nd 3.67-3.79
Nd1 0.2334 0.5000 0.7490  6 Nd 3.59-3.78, 6 Pr 3.67-3.79
Hg1 0.0408 0.5000 0.7324  8 Pr 3.26-3.49

Calculated values
Energy above the most stable polymorph in this dataset: 0 meV/atom



A relaxed structure of PrNd4Hg2, computed with PBE.

Unit cell a=20.8454 b=3.7308 c=11.9700 alpha=90.00 beta=101.02 gamma=90.00
Closest atoms and distances in Å follow each position.
Space group C2/m (No. 12)
Symmetry-distinct sites (fractional):
Pr1 0.0684 0.0000 0.1083  4 Hg 3.23-3.57, 1 Pr 3.47, 1 Nd 3.50
Nd1 0.0703 0.0000 0.6381  3 Hg 3.15-3.23
Nd2 0.0898 0.5000 0.3718  3 Hg 3.22-3.56
Nd3 0.1814 0.0000 0.9269  2 Hg 3.28, 1 Pr 3.50, 4 Nd 3.58-3.65
Nd4 0.2352 0.0000 0.2653  3 Hg 3.20-3.40
Hg1 0.0511 0.5000 0.8500  4 Pr 3.23-3.57, 5 Nd 3.23-3.56
Hg2 0.1964 0.0000 0.5287  2 Hg 3.09, 6 Nd 3.15-3.40

Calculated values
Energy above the most stable polymorph in this dataset: 0 meV/atom



A relaxed structure of Pr3NdHg4, computed with PBE.

Unit cell a=3.8782 b=7.7944 c=16.5609 alpha=90.00 beta=90.00 gamma=90.00
Closest atoms and distances in Å follow each position.
Space group Immm (No. 71)
Symmetry-distinct sites (fractional):
Pr1 0.0000 0.0000 0.0000  8 Hg 3.30
Pr2 0.0000 0.5000 0.2012  6 Hg 3.20-3.24
Nd1 0.0000 0.0000 0.5000  4 Hg 3.17
Hg1 0.0000 0.2980 0.3694  1 Hg 3.15, 1 Nd 3.17, 5 Pr 3.20-3.30

Calculated values
Energy above the most stable polymorph in this dataset: 145 meV/atom



A relaxed structure of Pr3Nd2Hg2, computed with PBE.

Unit cell a=3.7819 b=32.1096 c=3.7365 alpha=90.00 beta=90.00 gamma=90.00
Closest atoms and distances in Å follow each position.
Space group Cmmm (No. 65)
Symmetry-distinct sites (fractional):
Pr1 0.0000 0.0000 0.0000  12 Pr 3.70-3.78
Pr2 0.0000 0.4197 0.5000  4 Hg 3.32, 4 Pr 3.70
Nd1 0.0000 0.2976 0.5000  4 Hg 3.29, 2 Nd 3.59
Hg1 0.0000 0.1421 0.0000  4 Nd 3.29, 4 Pr 3.32

Calculated values
Energy above the most stable polymorph in this dataset: 30 meV/atom



A relaxed structure of Pr3Nd4Hg4, computed with PBE.

Unit cell a=4.7809 b=8.5801 c=17.0526 alpha=90.00 beta=90.00 gamma=90.00
Closest atoms and distances in Å follow each position.
Space group Immm (No. 71)
Symmetry-distinct sites (fractional):
Pr1 0.0000 0.0000 0.0000  6 Hg 3.63-3.93
Pr2 0.0000 0.5000 0.1103  6 Hg 3.42-3.62, 4 Nd 3.64, 1 Pr 3.76
Nd1 0.0000 0.2992 0.3323  4 Hg 3.03-3.13
Hg1 0.0000 0.0000 0.2304  6 Nd 3.10-3.13
Hg2 0.0000 0.1820 0.5000  2 Nd 3.03, 1 Hg 3.12

Calculated values
Calculated total energy: -3.395 eV per atom



A relaxed structure of Pr12Nd3Hg, computed with PBE.

Unit cell a=5.1536 b=5.1536 c=20.9383 alpha=90.00 beta=90.00 gamma=90.00
Closest atoms and distances in Å follow each position.
Space group P4/mmm (No. 123)
Symmetry-distinct sites (fractional):
Pr1 0.0000 0.0000 0.0000  8 Pr 3.59, 4 Hg 3.64
Pr2 0.0000 0.0000 0.2437  4 Nd 3.64, 8 Pr 3.66-3.73
Pr3 0.0000 0.0000 0.5000  4 Nd 3.64, 8 Pr 3.71
Pr4 0.0000 0.5000 0.1193  2 Hg 3.59, 8 Pr 3.59-3.66, 2 Nd 3.70
Pr5 0.0000 0.5000 0.3728  8 Pr 3.64-3.73, 4 Nd 3.70-3.71
Nd1 0.5000 0.5000 0.2458  12 Pr 3.64-3.70
Nd2 0.5000 0.5000 0.5000  12 Pr 3.64-3.71
Hg1 0.5000 0.5000 0.0000  12 Pr 3.59-3.64

Calculated values
Calculated total energy: -4.522 eV per atom